## CaTlSiTeSeF (PBE)

Data for crystalline CaTlSiTeSeF at its relaxed geometry.

Properties
ΔE_f (raw) = -1.226 eV per atom
Relative energy among the computed polymorphs = 38 meV per atom

CIF file:
```
data_CaTlSiTeSeF
_symmetry_space_group_name_H-M 'C 1 m 1'
_symmetry_Int_Tables_number 8
_cell_length_a 15.510
_cell_length_b 4.333
_cell_length_c 4.983
_cell_angle_alpha 90.00
_cell_angle_beta 91.92
_cell_angle_gamma 90.00
loop_
_symmetry_equiv_pos_as_xyz
'x,y,z'
'x,-y,z'
'x+1/2,y+1/2,z'
'x+1/2,-y+1/2,z'
loop_
_atom_site_label
_atom_site_type_symbol
_atom_site_fract_x
_atom_site_fract_y
_atom_site_fract_z
Ca1 Ca 0.000 0.000 0.000
Tl1 Tl 0.198 0.500 0.882
Si1 Si 0.266 0.000 0.265
Te1 Te 0.359 0.500 0.474
Se1 Se 0.131 0.000 0.474
F1 F 0.005 0.500 0.959
```

***

## Li3ErIn2 (PBE)

Data for crystalline Li3ErIn2 at its relaxed geometry.

Properties
E_form = -0.289 eV/atom

CIF file:
```
data_Li3ErIn2
_symmetry_space_group_name_H-M 'C 1 2/m 1'
_symmetry_Int_Tables_number 12
_cell_length_a 14.140
_cell_length_b 4.594
_cell_length_c 9.181
_cell_angle_alpha 90.00
_cell_angle_beta 120.82
_cell_angle_gamma 90.00
loop_
_symmetry_equiv_pos_as_xyz
'x,y,z'
'-x,-y,-z'
'-x,y,-z'
'x,-y,z'
'x+1/2,y+1/2,z'
'-x+1/2,-y+1/2,-z'
'-x+1/2,y+1/2,-z'
'x+1/2,-y+1/2,z'
loop_
_atom_site_label
_atom_site_type_symbol
_atom_site_fract_x
_atom_site_fract_y
_atom_site_fract_z
Li1 Li 0.047 0.000 0.385
Li2 Li 0.089 0.500 0.688
Li3 Li 0.240 0.500 0.570
Er1 Er 0.135 0.000 0.008
In1 In 0.062 0.500 0.198
In2 In 0.209 0.000 0.737
```

***

## Mg2TlAg (PBE)

Data for crystalline Mg2TlAg at its relaxed geometry.

Properties
E_form = -0.049 eV/atom

CIF file:
```
data_Mg2TlAg
_symmetry_space_group_name_H-M 'I -4 m 2'
_symmetry_Int_Tables_number 119
_symmetry_space_group_name_Hall 'I -4 -2'
_cell_length_a 4.358
_cell_length_b 4.358
_cell_length_c 9.114
_cell_angle_alpha 90.00
_cell_angle_beta 90.00
_cell_angle_gamma 90.00
loop_
_atom_site_label
_atom_site_type_symbol
_atom_site_fract_x
_atom_site_fract_y
_atom_site_fract_z
Mg1 Mg 0.000 0.000 0.000
Mg2 Mg 0.000 0.500 0.250
Tl1 Tl 0.000 0.500 0.750
Ag1 Ag 0.000 0.000 0.500
```

***

## TcHgSe (PBE)

Data for crystalline TcHgSe at its relaxed geometry.

Properties
ΔE_f (raw) = 0.420 eV per atom
Relative energy among the computed polymorphs = 410 meV per atom

CIF file:
```
data_TcHgSe
_symmetry_space_group_name_H-M 'F m m 2'
_symmetry_Int_Tables_number 42
_symmetry_space_group_name_Hall 'F 2 -2'
_cell_length_a 3.105
_cell_length_b 5.457
_cell_length_c 15.045
_cell_angle_alpha 90.00
_cell_angle_beta 90.00
_cell_angle_gamma 90.00
loop_
_atom_site_label
_atom_site_type_symbol
_atom_site_fract_x
_atom_site_fract_y
_atom_site_fract_z
Tc1 Tc 0.000 0.000 0.000
Hg1 Hg 0.000 0.000 0.661
Se1 Se 0.000 0.000 0.380
```

***

## Dy8Mg2Zn (PBE)

Data for crystalline Dy8Mg2Zn at its relaxed geometry.

Properties
E_form = 0.002 eV/atom

CIF file:
```
data_Dy8Mg2Zn
_symmetry_space_group_name_H-M 'C 1 2/m 1'
_symmetry_Int_Tables_number 12
_cell_length_a 17.877
_cell_length_b 5.334
_cell_length_c 6.934
_cell_angle_alpha 90.00
_cell_angle_beta 106.68
_cell_angle_gamma 90.00
loop_
_symmetry_equiv_pos_as_xyz
'x,y,z'
'-x,-y,-z'
'-x,y,-z'
'x,-y,z'
'x+1/2,y+1/2,z'
'-x+1/2,-y+1/2,-z'
'-x+1/2,y+1/2,-z'
'x+1/2,-y+1/2,z'
loop_
_atom_site_label
_atom_site_type_symbol
_atom_site_fract_x
_atom_site_fract_y
_atom_site_fract_z
Dy1 Dy 0.020 0.000 0.273
Dy2 Dy 0.095 0.500 0.946
Dy3 Dy 0.158 0.500 0.456
Dy4 Dy 0.194 0.000 0.774
Mg1 Mg 0.187 0.000 0.211
Zn1 Zn 0.000 0.500 0.500
```

***

## SmDy2Rh (PBE)

Data for crystalline SmDy2Rh at its relaxed geometry.

Properties
Relative energy among the computed polymorphs = 96 meV per atom
E_form = -0.411 eV/atom

CIF file:
```
data_SmDy2Rh
_symmetry_space_group_name_H-M 'P 4/m m m'
_symmetry_Int_Tables_number 123
_symmetry_space_group_name_Hall '-P 4 2'
_cell_length_a 3.502
_cell_length_b 3.502
_cell_length_c 8.677
_cell_angle_alpha 90.00
_cell_angle_beta 90.00
_cell_angle_gamma 90.00
loop_
_atom_site_label
_atom_site_type_symbol
_atom_site_fract_x
_atom_site_fract_y
_atom_site_fract_z
Sm1 Sm 0.000 0.000 0.000
Dy1 Dy 0.500 0.500 0.312
Rh1 Rh 0.000 0.000 0.500
```

***

| no. | M_tot (μB per atom) | V (Å³ per cell) | uncorrected energy (eV per atom) |
| --- | --- | --- | --- |
| 1 | 0.000 | 334.8 | -4.274 |
| 2 | 0.000 | 512.2 | -2.919 |
| 3 | 0.000 | 173.1 | -2.151 |
| 4 | 0.192 | 254.9 | -4.297 |
| 5 | 0.000 | 633.3 | -3.751 |
| 6 | 0.000 | 106.4 | -5.730 |